# 1
Entry from Alexandria via LeMat-Bulk: Li3ScAl after structural relaxation (PBEsol).

Properties
Calculated density, Mg/m³: 1.26
Total energy, eV per cell: -11.067
Space-group type: Pm-3m
Formation energy from the elements, eV/atom: 1.106

Cell: 4.9632 4.9632 4.9632 Å, 90.00 90.00 90.00°
With the nearest neighbours (Å) after each atom.
Sites, in units of the cell vectors:
Li  0.0000  0.0000  0.5000  2 Sc 2.48
Li  0.0000  0.5000  0.0000  2 Sc 2.48
Li  0.5000  0.0000  0.0000  2 Sc 2.48
Sc  0.0000  0.0000  0.0000  6 Li 2.48
Al  0.5000  0.5000  0.5000  12 Li 3.51



# 2
Entry from Alexandria via LeMat-Bulk: MnAu4 after structural relaxation (PBEsol).

Properties
Calculated density, Mg/m³: 17.06
Total energy, eV per cell: -51.065
Space-group type: Immm
Offset from the most stable computed form, eV/f.u.: 0.15
Formation energy from the elements, eV/atom: -0.015

Cell: 3.0943 3.7013 14.3237 Å, 90.00 90.00 90.00°
With the nearest neighbours (Å) after each atom.
Sites, in units of the cell vectors:
Mn  0.0000  0.0000  0.0000  10 Au 2.77-2.83, 2 Mn 3.09
Mn  0.5000  0.5000  0.5000  10 Au 2.77-2.83, 2 Mn 3.09
Au  0.0000  0.0000  0.1978  11 Au 2.82-3.09, 1 Mn 2.83
Au  0.0000  0.0000  0.4046  6 Au 2.73-2.96, 4 Mn 2.77
Au  0.0000  0.0000  0.5954  6 Au 2.73-2.96, 4 Mn 2.77
Au  0.0000  0.0000  0.8022  11 Au 2.82-3.09, 1 Mn 2.83
Au  0.5000  0.5000  0.0954  6 Au 2.73-2.96, 4 Mn 2.77
Au  0.5000  0.5000  0.3022  11 Au 2.82-3.09, 1 Mn 2.83
Au  0.5000  0.5000  0.6978  11 Au 2.82-3.09, 1 Mn 2.83
Au  0.5000  0.5000  0.9046  6 Au 2.73-2.96, 4 Mn 2.77



# 3
Entry from Alexandria via LeMat-Bulk: CoNiIr2 after structural relaxation (PBEsol).

Properties
Calculated density, Mg/m³: 16.87
Total energy, eV per cell: -33.277
Space-group type: P4mm
Offset from the most stable computed form, eV/f.u.: 0.29
Formation energy from the elements, eV/atom: 0.066

Cell: 2.6620 2.6620 6.9720 Å, 90.00 90.00 90.00°
With the nearest neighbours (Å) after each atom.
Sites, in units of the cell vectors:
Co  0.0000  0.0000  0.0000  4 Ni 2.45, 4 Ir 2.57, 4 Co 2.66
Ni  0.5000  0.5000  0.7759  4 Co 2.45, 4 Ir 2.58, 4 Ni 2.66
Ir  0.0000  0.0000  0.5226  4 Ni 2.58, 8 Ir 2.66-2.67
Ir  0.5000  0.5000  0.2501  4 Co 2.57, 8 Ir 2.66-2.67



# 4
Entry from Alexandria via LeMat-Bulk: NaYAu3 after structural relaxation (PBEsol).

Properties
Calculated density, Mg/m³: 7.54
Total energy, eV per cell: -19.113
Space-group type: Pm-3m
Formation energy from the elements, eV/atom: 0.176

Cell: 5.3684 5.3684 5.3684 Å, 90.00 90.00 90.00°
With the nearest neighbours (Å) after each atom.
Sites, in units of the cell vectors:
Na  0.0000  0.0000  0.0000  12 Au 3.80
Y  0.5000  0.5000  0.5000  6 Au 2.68
Au  0.0000  0.5000  0.5000  2 Y 2.68
Au  0.5000  0.0000  0.5000  2 Y 2.68
Au  0.5000  0.5000  0.0000  2 Y 2.68